Entry 1:
First-principles (PBE) data for an optimized crystal structure of Cs2Na4Cu, as listed in Alexandria.

```
14
Lattice="5.874 0.000 0.000 0.000 5.874 0.000 0.000 0.000 21.808" Properties=species:S:1:pos:R:3 pbc="T T T"
Cs 0.000 0.000 3.473
Cs 0.000 0.000 18.334
Cs 2.937 2.937 7.431
Cs 2.937 2.937 14.377
Na 0.000 0.000 8.127
Na 0.000 0.000 13.681
Na 0.000 2.937 0.000
Na 0.000 2.937 10.904
Na 2.937 0.000 0.000
Na 2.937 0.000 10.904
Na 2.937 2.937 2.777
Na 2.937 2.937 19.031
Cu 0.000 0.000 10.904
Cu 2.937 2.937 0.000
```

Energy   -1.411 eV/atom
Space group   I4/mmm, No. 139
Calculated formation energy   0.172 eV/atom



Entry 2:
First-principles (PBE) data for an optimized crystal structure of Ac2TlGaGe, as listed in Alexandria.

```
10
Lattice="7.640 0.000 0.000 0.000 4.603 0.000 -2.621 0.000 9.288" Properties=species:S:1:pos:R:3 pbc="T T T"
Ac 0.514 1.151 3.811
Ac -0.613 1.151 9.063
Ac 5.632 3.452 0.224
Ac 4.505 3.452 5.477
Tl 0.435 3.452 6.476
Tl 4.584 1.151 2.811
Ga 2.953 3.452 2.484
Ga 2.066 1.151 6.804
Ge 0.693 3.452 1.590
Ge 4.326 1.151 7.698
```

Energy   -4.109 eV/atom
Space group   P2_1/m, No. 11
Calculated formation energy   -0.463 eV/atom



What are the total magnetization values for these records? In order: 0.000; 0.000 μB per cell.